# KZnHBr2

An optimized crystal structure of KZnHBr2 (GGA-PBE, Alexandria).

Structure (CIF):
```
data_KZnHBr2
_cell_length_a 5.5414
_cell_length_b 5.5414
_cell_length_c 3.6763
_cell_angle_alpha 90.00
_cell_angle_beta 90.00
_cell_angle_gamma 90.00
_symmetry_space_group_name_H-M 'P 1'
_symmetry_Int_Tables_number 1
loop_
_symmetry_equiv_pos_as_xyz
'x,y,z'
loop_
_atom_site_label
_atom_site_type_symbol
_atom_site_fract_x
_atom_site_fract_y
_atom_site_fract_z
H1 H 0.0000 0.0000 0.5000
Zn1 Zn 0.0000 0.0000 0.0000
Br1 Br 0.0000 0.5000 0.0000
Br2 Br 0.5000 0.0000 0.0000
K1 K 0.5000 0.5000 0.5000
```

Summary:
Its total energy is -2.613 eV/atom. The calculation puts the theoretical density at 3.9 g/cm³. For the total magnetic moment, the calculation gives 0.00 μB/f.u.